1.
Entry from the Alexandria database: a relaxed LiTbSeI crystal (PBE).

Summary:
Its uncorrected formation energy is -1.316 eV/atom. The crystal system is trigonal. Its space group is No. 160.

Cell lengths 4.0726, 4.0726, 7.7697 Å; angles 74.81, 74.81, 60.00 degrees
Element x y z (fractional)
Tb  0.1233  0.1233  0.6301
Li  0.5762  0.5762  0.2714
Se  0.8668  0.8668  0.3997
I  0.3631  0.3631  0.9106

***

2.
Entry from the Alexandria database: a relaxed LiTeSeI2 crystal (PBE).

Summary:
Its uncorrected formation energy is 0.000 eV/atom. For the energy above the most stable polymorph in this dataset, the calculation gives 0.0 meV/atom. The crystal system is tetragonal. Its space group is No. 123.

Cell lengths 5.8220, 5.8220, 5.6166 Å; angles 90.00, 90.00, 90.00 degrees
Element x y z (fractional)
I  0.0000  0.5000  0.0000
Te  0.0000  0.0000  0.5000
I  0.5000  0.0000  0.0000
Li  0.5000  0.5000  0.5000
Se  0.0000  0.0000  0.0000

***

3.
Entry from the Alexandria database: a relaxed LiTeSeI2 crystal (PBE).

Summary:
Its uncorrected formation energy is 0.255 eV/atom. For the energy above the most stable polymorph in this dataset, the calculation gives 255.3 meV/atom. The crystal system is tetragonal. Its space group is No. 123.

Cell lengths 5.0773, 5.0773, 5.7717 Å; angles 90.00, 90.00, 90.00 degrees
Each line ends with the local moment (μB).
Element x y z (fractional)
Te  0.0000  0.0000  0.5000  -0.14
I  0.0000  0.5000  0.0000  0.01
Li  0.0000  0.0000  0.0000  0.00
I  0.5000  0.0000  0.0000  0.01
Se  0.5000  0.5000  0.5000  0.33

***

4.
Entry from the Alexandria database: a relaxed Li6TeSeI2 crystal (PBE).

Summary:
Its uncorrected formation energy is -1.096 eV/atom. The crystal system is monoclinic. Its space group is No. 12.

Cell lengths 7.1108, 7.0801, 7.0642 Å; angles 120.07, 119.48, 90.00 degrees
Element x y z (fractional)
Te  0.5000  0.0000  0.0000
Se  0.0000  0.5000  0.0000
Li  0.8394  0.8190  0.1532
Li  0.1606  0.6658  0.8468
I  0.7756  0.7506  0.5012
Li  0.1606  0.1810  0.8468
Li  0.8394  0.3342  0.1532
I  0.2244  0.2494  0.4988
Li  0.6409  0.2625  0.5251
Li  0.3591  0.7375  0.4749

***

5.
Entry from the Alexandria database: a relaxed Li2TlSeI crystal (PBE).

Summary:
Its uncorrected formation energy is -0.851 eV/atom. The crystal system is tetragonal. Its space group is No. 123.

Cell lengths 4.9356, 4.9356, 6.5174 Å; angles 90.00, 90.00, 90.00 degrees
Element x y z (fractional)
I  0.5000  0.5000  0.5000
Se  0.0000  0.0000  0.0000
Li  0.5000  0.0000  0.0000
Tl  0.0000  0.0000  0.5000
Li  0.0000  0.5000  0.0000

***

6.
Entry from the Alexandria database: a relaxed LiTl2SeI crystal (PBE).

Summary:
Its uncorrected formation energy is -0.586 eV/atom. The crystal system is tetragonal. Its space group is No. 123.

Cell lengths 6.3122, 6.3122, 4.7187 Å; angles 90.00, 90.00, 90.00 degrees
Element x y z (fractional)
Se  0.0000  0.0000  0.0000
Li  0.0000  0.0000  0.5000
I  0.5000  0.5000  0.5000
Tl  0.5000  0.0000  0.0000
Tl  0.0000  0.5000  0.0000

***

It is found that the electronic total energy values, taken in the order of the records, are -16.8 -11.6 -10.4 -32.2 -15.5 -14.6 eV per cell.